1.
First-principles (PBE-GGA) data for a relaxed structure of Cs3CCl, as listed in Alexandria via LeMat-Bulk.

```
Cs3CCl
1.0
-0.924 2.591 6.059
-6.275 -2.212 -0.011
2.010 -5.715 2.751
Cs C Cl
3 1 1
Direct
0.000 0.500 0.000
0.500 0.000 0.000
0.000 0.000 0.500
0.500 0.500 0.500
0.000 0.000 0.000
```

Results
- ΔE_f (raw): 174 kJ/mol of formula units
- Magnetization: 2.23 Bohr magnetons per cell
- Space group: No. 221
- Energy: -2.3653 eV per atom
- DOS at the Fermi energy: 1.579 states/eV/f.u.

2.
First-principles (PBE-GGA) data for a relaxed structure of K2NaPrCl6, as listed in Alexandria via LeMat-Bulk.

```
K2NaPrCl6
1.0
7.742 0.000 0.000
3.871 6.705 0.000
3.871 2.235 6.322
Cl K Pr Na
6 2 1 1
Direct
0.750 0.250 0.750
0.250 0.250 0.750
0.250 0.750 0.250
0.250 0.750 0.750
0.750 0.250 0.250
0.750 0.750 0.250
0.750 0.750 0.750
0.250 0.250 0.250
0.000 0.000 0.000
0.500 0.500 0.500
```

Results
- ΔE_f (raw): -1955 kJ/mol of formula units
- Magnetization: 0.00 Bohr magnetons per cell
- Space group: No. 225
- Energy: -3.9632 eV per atom
- DOS at the Fermi energy: 0.000 states/eV/f.u.

3.
First-principles (PBE-GGA) data for a relaxed structure of Cs2ScTaBr6, as listed in Alexandria via LeMat-Bulk.

```
Cs2ScTaBr6
1.0
-1.262 7.227 2.336
-7.526 -0.870 -1.375
-5.119 1.405 5.576
Cs Sc Br Ta
2 1 6 1
Direct
0.750 0.250 0.500
0.250 0.750 0.500
0.500 0.500 0.000
0.752 0.752 0.496
0.248 0.248 0.504
0.752 0.752 0.000
0.248 0.248 0.000
0.752 0.248 0.000
0.248 0.752 0.000
0.000 0.000 0.000
```

Results
- ΔE_f (raw): -1098 kJ/mol of formula units
- Magnetization: 2.00 Bohr magnetons per cell
- Space group: No. 225
- Energy: -4.1305 eV per atom
- DOS at the Fermi energy: 4.902 states/eV/f.u.

4.
First-principles (PBE-GGA) data for a relaxed structure of K2PuGeTe4, as listed in Alexandria via LeMat-Bulk.

```
K2PuGeTe4
1.0
4.505 0.000 0.000
0.000 8.454 -0.419
0.000 2.726 7.366
K Te Pu Ge
2 4 1 1
Direct
0.000 0.000 0.000
0.500 0.000 0.500
0.000 0.696 0.768
0.000 0.304 0.232
0.500 0.701 0.262
0.500 0.299 0.738
0.000 0.500 0.500
0.500 0.500 0.000
```

Results
- ΔE_f (raw): -587 kJ/mol of formula units
- Magnetization: 3.97 Bohr magnetons per cell
- Space group: No. 10
- Energy: -4.9747 eV per atom
- DOS at the Fermi energy: 12.665 states/eV/f.u.

5.
First-principles (PBE-GGA) data for a relaxed structure of Ca2PuI6, as listed in Alexandria via LeMat-Bulk.

```
Ca2PuI6
1.0
4.408 0.000 -1.010
-0.520 9.046 -2.268
0.053 -0.084 10.356
Ca I Pu
2 6 1
Direct
0.833 0.666 0.666
0.167 0.334 0.334
0.671 0.572 0.342
0.335 0.904 0.670
0.665 0.096 0.330
0.329 0.428 0.658
0.005 0.246 0.010
0.995 0.754 0.990
0.500 0.000 0.000
```

Results
- ΔE_f (raw): -1232 kJ/mol of formula units
- Magnetization: 6.00 Bohr magnetons per cell
- Space group: No. 12
- Energy: -4.4895 eV per atom
- DOS at the Fermi energy: 16.946 states/eV/f.u.

6.
First-principles (PBE-GGA) data for a relaxed structure of SeS, as listed in Alexandria via LeMat-Bulk.

```
SeS
1.0
9.131 0.000 0.000
0.000 9.131 0.000
0.000 0.000 3.232
S Se
4 4
Direct
0.370 0.630 0.000
0.870 0.870 0.500
0.630 0.370 0.000
0.130 0.130 0.500
0.246 0.754 0.500
0.254 0.254 0.000
0.754 0.246 0.500
0.746 0.746 0.000
```

Results
- ΔE_f (raw): 86 kJ/mol of formula units
- Magnetization: 0.00 Bohr magnetons per cell
- Space group: No. 136
- Energy: -3.3621 eV per atom
- Offset from the most stable computed form: 38.6 kJ/mol of atoms
- DOS at the Fermi energy: 1.485 states/eV/f.u.

> ΔE_f (raw) of number 4 (K2PuGeTe4)?

-587 kJ/mol of formula units